An optimized crystal structure of MgIn2Ag9. Source: the Alexandria database, functional PBE.

Cell lengths 4.1967, 4.1967, 12.6859 Å; angles 90.00, 90.00, 90.00 degrees
Fractional positions:
Mg: 0.0000 0.0000 0.0000
In: 0.0000 0.0000 0.3317
In: 0.0000 0.0000 0.6683
Ag: 0.0000 0.5000 0.1617
Ag: 0.0000 0.5000 0.5000
Ag: 0.0000 0.5000 0.8383
Ag: 0.5000 0.0000 0.1617
Ag: 0.5000 0.0000 0.5000
Ag: 0.5000 0.0000 0.8383
Ag: 0.5000 0.5000 0.0000
Ag: 0.5000 0.5000 0.3317
Ag: 0.5000 0.5000 0.6683

DFT formation energy = -0.06 eV per atom
space-group type = P4/mmm